Record 1
The following is a PBE-GGA calculation of an optimized crystal structure of HoPa2Ga9, from Alexandria via LeMat-Bulk.

Calculated values
Total energy (eV/atom): -4.663
Energy of formation (eV per atom): -0.429

Unit cell a=4.293 b=4.293 c=12.815 alpha=90.00 beta=90.00 gamma=90.00
Space group P4/mmm (No. 123)
Asymmetric unit:
Ho: 0.000 0.000 0.000 x1
Pa: 0.000 0.000 0.332 x2
Ga: 0.000 0.500 0.165 x4
Ga: 0.000 0.500 0.500 x2
Ga: 0.500 0.500 0.000 x1
Ga: 0.500 0.500 0.335 x2

Record 2
The following is a PBE-GGA calculation of an optimized crystal structure of Cs3OsS4, from Alexandria via LeMat-Bulk.

Calculated values
Total energy (eV/atom): -4.340
Formation energy without anion corrections (meV/atom): -552
Energy above the most stable polymorph in this dataset (meV/atom): 208

Unit cell a=8.200 b=8.200 c=8.236 alpha=90.00 beta=90.00 gamma=90.00
Space group I4/mmm (No. 139)
Asymmetric unit:
Cs: 0.000 0.000 0.000 x2
Cs: 0.000 0.500 0.250 x4
Os: 0.000 0.000 0.500 x2
S: 0.196 0.196 0.500 x8

no.,magnetic moment (μB per formula unit)
1,0.001
2,0.983